Entry 1:
Density functional theory data (PBE-GGA) for an optimized crystal structure of Pm3ScSn12.

The structure in POSCAR format:
```
Pm3ScSn12
1.0
4.747 0.000 0.000
0.000 4.747 0.000
0.000 0.000 18.716
Pm Sc Sn
3 1 12
direct
0.000 0.000 0.000
0.000 0.000 0.254
0.000 0.000 0.746
0.000 0.000 0.500
0.000 0.500 0.128
0.000 0.500 0.383
0.000 0.500 0.617
0.000 0.500 0.872
0.500 0.000 0.128
0.500 0.000 0.383
0.500 0.000 0.617
0.500 0.000 0.872
0.500 0.500 0.000
0.500 0.500 0.256
0.500 0.500 0.500
0.500 0.500 0.744
```

**VASP energy**: -4.727 eV per atom
**Formation enthalpy at 0 K**: -0.44 eV/atom

***

Entry 2:
Density functional theory data (PBE-GGA) for an optimized crystal structure of PmScSn3.

The structure in POSCAR format:
```
PmScSn3
1.0
3.513 -6.233 0.000
3.513 6.233 0.000
-0.114 0.000 6.559
Pm Sc Sn
2 2 6
direct
0.236 0.764 0.750
0.764 0.236 0.250
0.437 0.563 0.250
0.563 0.437 0.750
0.154 0.232 0.532
0.216 0.784 0.250
0.232 0.154 0.032
0.768 0.846 0.968
0.784 0.216 0.750
0.846 0.768 0.468
```

**VASP energy**: -4.974 eV per atom
**Formation enthalpy at 0 K**: -0.36 eV/atom

***

Entry 3:
Density functional theory data (PBE-GGA) for an optimized crystal structure of PmYScSn.

The structure in POSCAR format:
```
PmYScSn
1.0
7.536 0.000 0.000
0.000 7.536 0.000
0.000 0.000 7.536
Pm Y Sc Sn
4 4 4 4
direct
0.000 0.000 0.000
0.000 0.500 0.500
0.500 0.000 0.500
0.500 0.500 0.000
0.250 0.250 0.750
0.250 0.750 0.250
0.750 0.250 0.250
0.750 0.750 0.750
0.250 0.250 0.250
0.250 0.750 0.750
0.750 0.250 0.750
0.750 0.750 0.250
0.000 0.000 0.500
0.000 0.500 0.000
0.500 0.000 0.000
0.500 0.500 0.500
```

**VASP energy**: -5.613 eV per atom
**Formation enthalpy at 0 K**: -0.23 eV/atom

***

Entry 4:
Density functional theory data (PBE-GGA) for an optimized crystal structure of PmScZnSn.

The structure in POSCAR format:
```
PmScZnSn
1.0
7.236 0.000 0.000
0.000 7.236 0.000
0.000 0.000 7.236
Pm Sc Zn Sn
4 4 4 4
direct
0.000 0.000 0.000
0.000 0.500 0.500
0.500 0.000 0.500
0.500 0.500 0.000
0.000 0.000 0.500
0.000 0.500 0.000
0.500 0.000 0.000
0.500 0.500 0.500
0.250 0.250 0.250
0.250 0.750 0.750
0.750 0.250 0.750
0.750 0.750 0.250
0.250 0.250 0.750
0.250 0.750 0.250
0.750 0.250 0.250
0.750 0.750 0.750
```

**VASP energy**: -4.563 eV per atom
**Formation enthalpy at 0 K**: -0.47 eV/atom

***

Entry 5:
Density functional theory data (PBE-GGA) for an optimized crystal structure of PmSc2Zn2Sn2.

The structure in POSCAR format:
```
PmSc2Zn2Sn2
1.0
2.343 1.353 8.466
-2.343 1.353 8.466
0.000 -2.705 8.466
Pm Sc Zn Sn
1 2 2 2
direct
0.000 0.000 0.000
0.136 0.136 0.136
0.864 0.864 0.864
0.443 0.443 0.443
0.557 0.557 0.557
0.261 0.261 0.261
0.739 0.739 0.739
```

**VASP energy**: -4.362 eV per atom
**Formation enthalpy at 0 K**: -0.37 eV/atom

***

Entry 6:
Density functional theory data (PBE-GGA) for an optimized crystal structure of SrPm2Sc.

The structure in POSCAR format:
```
SrPm2Sc
1.0
3.954 0.000 0.000
0.000 3.954 0.000
0.000 0.000 9.272
Sr Pm Sc
1 2 1
direct
0.000 0.000 0.000
0.500 0.500 0.305
0.500 0.500 0.695
0.000 0.000 0.500
```

**Energy relative to the lowest polymorph listed for this composition**: 0.000 eV/atom
**VASP energy**: -4.281 eV per atom
**Formation enthalpy at 0 K**: 0.10 eV/atom